Entry 1:
Hf2ReTc | PBE-GGA | optimized geometry

```
4
Lattice="0.000 3.252 3.252 3.252 0.000 3.252 3.252 3.252 0.000" Properties=species:S:1:pos:R:3 pbc="T T T"
Hf 3.252 3.252 3.252
Hf 4.878 4.878 4.878
Tc 0.000 0.000 0.000
Re 1.626 1.626 1.626
```

The calculation puts the energy relative to the elements at -105 meV per atom. Its volume is 69 Å³/cell. The calculation puts the total moment at 0.00 μB per cell. Its electronic total energy is -10.779 eV per atom.

Entry 2:
KGdNO | PBE-GGA | optimized geometry

```
8
Lattice="1.181 1.670 3.111 -3.527 -4.006 3.489 5.705 -4.707 0.362" Properties=species:S:1:pos:R:3 pbc="T T T"
N 2.291 -4.260 1.417
N -0.767 -5.195 3.080
Gd 0.188 -3.551 1.835
Gd 0.290 -7.093 3.698
K 3.639 -5.141 3.606
K 1.481 0.098 1.613
O 1.941 -6.643 5.057
O 0.218 -1.763 3.092
```

Its volume is 176 Å³/cell. The calculation puts the total moment at 2.00 μB per cell. For the distance to the lowest polymorph of the same formula, the calculation gives 0.008 eV per atom. Its electronic total energy is -5.993 eV per atom.

Entry 3:
TlGeMo4C2 | PBE-GGA | optimized geometry

```
8
Lattice="-2.316 1.906 -1.005 0.111 -3.006 -0.979 -7.484 -3.643 10.339" Properties=species:S:1:pos:R:3 pbc="T T T"
Mo -7.882 -2.835 7.811
Mo -2.616 -0.271 0.536
Mo -2.367 -1.152 3.270
Mo -5.117 -2.491 7.069
C -2.465 -2.229 1.454
C -6.415 -4.152 6.911
Ge 0.000 0.000 0.000
Tl -5.249 -1.553 4.174
```

Its volume is 115 Å³/cell. The calculation puts the total moment at 0.01 μB per cell. Its electronic total energy is -8.559 eV per atom.